1.
Density functional theory data (PBE) for a relaxed structure of FeW3.

Lattice parameters (Å, degrees): 5.4927 5.4927 9.2738 90.00 90.00 60.00
Closest atoms and distances in Å follow each position.
Atoms (fractional coordinates):
1 W 0.5000 0.5000 0.0000  4 Fe 2.75-2.81, 8 W 2.75-2.81
2 W 0.3330 0.8335 0.7500  8 W 2.74-2.81, 4 Fe 2.75-2.81
3 W 0.5000 0.0000 0.0000  8 W 2.75-2.81, 4 Fe 2.75-2.81
4 W 0.5000 0.0000 0.5000  8 W 2.75-2.81, 4 Fe 2.75-2.81
5 W 0.1665 0.1665 0.2500  8 W 2.74-2.81, 4 Fe 2.75-2.81
6 W 0.0000 0.5000 0.5000  8 W 2.75-2.81, 4 Fe 2.75-2.81
7 W 0.8335 0.8335 0.7500  8 W 2.74-2.81, 4 Fe 2.75-2.81
8 W 0.5000 0.5000 0.5000  4 Fe 2.75-2.81, 8 W 2.75-2.81
9 W 0.0000 0.5000 0.0000  8 W 2.75-2.81, 4 Fe 2.75-2.81
10 W 0.8335 0.3330 0.7500  8 W 2.74-2.81, 4 Fe 2.75-2.81
11 W 0.6670 0.1665 0.2500  8 W 2.74-2.81, 4 Fe 2.75-2.81
12 W 0.1665 0.6670 0.2500  8 W 2.74-2.81, 4 Fe 2.75-2.81
13 Fe 0.0000 0.0000 0.5000  12 W 2.75-2.81
14 Fe 0.0000 0.0000 0.0000  12 W 2.75-2.81
15 Fe 0.6667 0.6667 0.2500  12 W 2.75-2.81
16 Fe 0.3333 0.3333 0.7500  12 W 2.75-2.81

Properties
* ΔE_f: 0.361 eV/atom
* magnetic moment: 6.6 μB/cell
* theoretical density: 16.6 g/cm³



2.
Density functional theory data (PBE) for a relaxed structure of MoSe2S.

Lattice parameters (Å, degrees): 6.3763 6.3763 6.6369 61.29 61.29 90.00
Closest atoms and distances in Å follow each position.
Atoms (fractional coordinates):
1 Se 0.8750 0.9159 0.7500  2 Mo 2.41
2 Se 0.0841 0.6250 0.2500  2 Mo 2.41
3 Se 0.6659 0.1250 0.2500  2 Mo 2.41
4 Se 0.3750 0.3341 0.7500  2 Mo 2.41
5 Mo 0.0000 0.0000 0.0000  4 Se 2.41
6 Mo 0.7500 0.2500 0.5000  4 Se 2.41
7 S 0.2500 0.7500 0.5000  4 Se 2.73
8 S 0.5000 0.5000 0.0000  4 Se 2.73

Properties
* magnetic moment: 0.0 μB/cell
* theoretical density: 4.8 g/cm³
* DFT total energy: -5.0781 eV per atom